Record 1
# HfThCd | Alexandria | PBE-GGA | optimized geometry
# **Energy of formation**: 0.023 eV per atom
# **E_tot**: -36.44 eV per cell
data_HfThCd
_chemical_formula_sum 'Hf2 Th2 Cd2'
_cell_length_a 3.2782
_cell_length_b 3.2782
_cell_length_c 14.2551
_cell_angle_alpha 90.00
_cell_angle_beta 90.00
_cell_angle_gamma 90.00
_space_group_name_H-M_alt 'I 4 m m'
_space_group_IT_number 107
_space_group_name_Hall 'I 4 -2'
loop_
_atom_site_label
_atom_site_fract_x
_atom_site_fract_y
_atom_site_fract_z
Hf1 0.0000 0.0000 0.0000
Th1 0.0000 0.0000 0.3297
Cd1 0.0000 0.0000 0.6468

---

Record 2
# Li3B4C4 | Alexandria | PBE-GGA | optimized geometry
# **Energy of formation**: -0.233 eV per atom
# **E_tot**: -143.81 eV per cell
data_Li3B4C4
_chemical_formula_sum 'Li6 B8 C8'
_cell_length_a 5.4461
_cell_length_b 4.7155
_cell_length_c 7.7060
_cell_angle_alpha 90.00
_cell_angle_beta 110.80
_cell_angle_gamma 90.00
_space_group_name_H-M_alt 'P 1 21/c 1'
_space_group_IT_number 14
_space_group_name_Hall '-P 2ybc'
loop_
_atom_site_label
_atom_site_fract_x
_atom_site_fract_y
_atom_site_fract_z
Li1 0.0000 0.0000 0.0000
Li2 0.2578 0.0017 0.4990
B1 0.1279 0.1615 0.7524
B2 0.3748 0.6634 0.7462
C1 0.1210 0.6714 0.2430
C2 0.3743 0.1679 0.2497

---

Record 3
# Eu2YSc | Alexandria | PBE-GGA | optimized geometry
# **Energy of formation**: 0.175 eV per atom
# **E_tot**: -32.64 eV per cell
data_Eu2YSc
_chemical_formula_sum 'Eu2 Y1 Sc1'
_cell_length_a 5.0586
_cell_length_b 5.0586
_cell_length_c 5.2299
_cell_angle_alpha 90.00
_cell_angle_beta 90.00
_cell_angle_gamma 90.00
_space_group_name_H-M_alt 'P 4/m m m'
_space_group_IT_number 123
_space_group_name_Hall '-P 4 2'
loop_
_atom_site_label
_atom_site_fract_x
_atom_site_fract_y
_atom_site_fract_z
Eu1 0.0000 0.5000 0.0000
Y1 0.0000 0.0000 0.5000
Sc1 0.5000 0.5000 0.5000

---

Record 4
# H3Pt2Pb3 | Alexandria | PBE-GGA | optimized geometry
# **E_tot**: -134.63 eV per cell
data_H3Pt2Pb3
_chemical_formula_sum 'H12 Pt8 Pb12'
_cell_length_a 3.5831
_cell_length_b 10.4759
_cell_length_c 14.8336
_cell_angle_alpha 90.00
_cell_angle_beta 90.00
_cell_angle_gamma 90.00
_space_group_name_H-M_alt 'C m c m'
_space_group_IT_number 63
_space_group_name_Hall '-C 2c 2'
loop_
_atom_site_label
_atom_site_fract_x
_atom_site_fract_y
_atom_site_fract_z
H1 0.0000 0.1416 0.1278
H2 0.0000 0.2996 0.7500
Pt1 0.0000 0.3428 0.6333
Pb1 0.0000 0.0298 0.7500
Pb2 0.0000 0.3673 0.0638

---

Record 5
# K2RbAu | Alexandria | PBE-GGA | optimized geometry
# **Energy of formation**: -0.051 eV per atom
# **E_tot**: -6.65 eV per cell
data_K2RbAu
_chemical_formula_sum 'K2 Rb1 Au1'
_cell_length_a 5.5578
_cell_length_b 5.5578
_cell_length_c 5.9050
_cell_angle_alpha 90.00
_cell_angle_beta 90.00
_cell_angle_gamma 90.00
_space_group_name_H-M_alt 'P 4/m m m'
_space_group_IT_number 123
_space_group_name_Hall '-P 4 2'
loop_
_atom_site_label
_atom_site_fract_x
_atom_site_fract_y
_atom_site_fract_z
K1 0.0000 0.5000 0.0000
Rb1 0.0000 0.0000 0.5000
Au1 0.5000 0.5000 0.5000

---

Record 6
# SnPd2Br | Alexandria | PBE-GGA | optimized geometry
# **Uncorrected formation energy**: -0.1058 eV per atom
# **E_tot**: -65.94 eV per cell
data_SnPd2Br
_chemical_formula_sum 'Sn4 Pd8 Br4'
_cell_length_a 6.7654
_cell_length_b 6.7654
_cell_length_c 6.7654
_cell_angle_alpha 90.00
_cell_angle_beta 90.00
_cell_angle_gamma 90.00
_space_group_name_H-M_alt 'F m -3 m'
_space_group_IT_number 225
_space_group_name_Hall '-F 4 2 3'
loop_
_atom_site_label
_atom_site_fract_x
_atom_site_fract_y
_atom_site_fract_z
Sn1 0.0000 0.0000 0.0000
Pd1 0.2500 0.2500 0.2500
Br1 0.0000 0.0000 0.5000